A relaxed Rb2PaF6 crystal, computed with PBE.

**Total DFT energy (no corrections)**: -5.914 eV per atom
**Calculated density**: 4.43 g/cm3

Cell: 5.6843 5.6843 11.9834 Å, 90.00 90.00 90.00°
Sites, in units of the cell vectors:
1 Rb 0.0000 0.0000 0.1675
2 Rb 0.0000 0.0000 0.8325
3 Rb 0.5000 0.5000 0.3325
4 Rb 0.5000 0.5000 0.6675
5 Pa 0.0000 0.0000 0.5000
6 Pa 0.5000 0.5000 0.0000
7 F 0.1787 0.1787 0.3618
8 F 0.1787 0.1787 0.6382
9 F 0.2273 0.2273 0.0000
10 F 0.2727 0.7273 0.5000
11 F 0.3213 0.6787 0.1382
12 F 0.3213 0.6787 0.8618
13 F 0.6787 0.3213 0.1382
14 F 0.6787 0.3213 0.8618
15 F 0.7273 0.2727 0.5000
16 F 0.7727 0.7727 0.0000
17 F 0.8213 0.8213 0.3618
18 F 0.8213 0.8213 0.6382

---

A relaxed KSi5Pd3 crystal, computed with PBE.

**Total DFT energy (no corrections)**: -4.807 eV per atom
**Calculated density**: 5.33 g/cm3

Cell: 5.3183 5.3183 6.3383 Å, 90.00 90.00 120.00°
Sites, in units of the cell vectors:
1 K 0.0000 0.0000 0.0000
2 Si 0.0000 0.0000 0.5000
3 Si 0.3333 0.6667 0.1878
4 Si 0.3333 0.6667 0.8122
5 Si 0.6667 0.3333 0.1878
6 Si 0.6667 0.3333 0.8122
7 Pd 0.0000 0.5000 0.5000
8 Pd 0.5000 0.0000 0.5000
9 Pd 0.5000 0.5000 0.5000

---

A relaxed LaNd2Mg3AgHg2 crystal, computed with PBE.

**Total DFT energy (no corrections)**: -2.865 eV per atom
**Calculated density**: 7.03 g/cm3

Cell: 4.3065 7.9881 7.9881 Å, 119.86 90.00 90.00°
Sites, in units of the cell vectors:
1 La 0.0000 0.0000 0.0000
2 Nd 0.0000 0.1794 0.5893
3 Nd 0.0000 0.5893 0.1794
4 Mg 0.5000 0.3514 0.3514
5 Mg 0.5000 0.5867 0.8284
6 Mg 0.5000 0.8284 0.5867
7 Ag 0.0000 0.5872 0.5872
8 Hg 0.5000 0.2598 0.9215
9 Hg 0.5000 0.9215 0.2598

---

A relaxed Cu7Ag3 crystal, computed with PBE.

**Energy relative to the elements**: 0.081 eV per atom
**Calculated density**: 9.34 g/cm3

Cell: 4.7299 4.7299 11.0131 Å, 97.67 97.67 34.06°
Sites, in units of the cell vectors:
1 Cu 0.0000 0.0000 0.0000
2 Cu 0.3052 0.3052 0.0876
3 Cu 0.5004 0.5004 0.4697
4 Cu 0.6093 0.6093 0.1740
5 Cu 0.6929 0.6929 0.9064
6 Cu 0.8198 0.8198 0.5779
7 Cu 0.9181 0.9181 0.2695
8 Ag 0.1098 0.1098 0.6760
9 Ag 0.2115 0.2115 0.3756
10 Ag 0.3987 0.3987 0.7984